# GGA-PBE Ba3Sb4, relaxed
# DOS at the Fermi energy	0.799	states/eV/atom
# raw formation energy	-0.3906	eV/atom
# uncorrected energy	-3.5703	eV per atom
data_Ba3Sb4
_chemical_formula_sum 'Ba3 Sb4'
_cell_length_a 8.1174
_cell_length_b 8.1174
_cell_length_c 5.4274
_cell_angle_alpha 90.00
_cell_angle_beta 90.00
_cell_angle_gamma 120.00
_space_group_name_H-M_alt 'P 6/m m m'
_space_group_IT_number 191
_space_group_name_Hall '-P 6 2'
loop_
_atom_site_label
_atom_site_type_symbol
_atom_site_fract_x
_atom_site_fract_y
_atom_site_fract_z
Ba1 Ba 0.0000 0.5000 0.0000
Sb1 Sb 0.0000 0.0000 0.2463
Sb2 Sb 0.3333 0.6667 0.5000

=====

# GGA-PBE Cs2SrAgF, relaxed
# DOS at the Fermi energy	1.423	states/eV/atom
# raw formation energy	-0.2996	eV/atom
# uncorrected energy	-1.9219	eV per atom
data_Cs2SrAgF
_chemical_formula_sum 'Cs2 Sr1 Ag1 F1'
_cell_length_a 7.9636
_cell_length_b 7.9636
_cell_length_c 4.5011
_cell_angle_alpha 90.00
_cell_angle_beta 90.00
_cell_angle_gamma 90.00
_space_group_name_H-M_alt 'P 4/m m m'
_space_group_IT_number 123
_space_group_name_Hall '-P 4 2'
loop_
_atom_site_label
_atom_site_type_symbol
_atom_site_fract_x
_atom_site_fract_y
_atom_site_fract_z
Cs1 Cs 0.0000 0.5000 0.0000
Sr1 Sr 0.0000 0.0000 0.5000
Ag1 Ag 0.5000 0.5000 0.0000
F1 F 0.5000 0.5000 0.5000

=====

# GGA-PBE Ca2HoP, relaxed
# DOS at the Fermi energy	1.161	states/eV/atom
# uncorrected energy	-3.7928	eV per atom
data_Ca2HoP
_chemical_formula_sum 'Ca6 Ho3 P3'
_cell_length_a 3.9418
_cell_length_b 3.9418
_cell_length_c 31.6955
_cell_angle_alpha 90.00
_cell_angle_beta 90.00
_cell_angle_gamma 120.00
_space_group_name_H-M_alt 'R -3 m'
_space_group_IT_number 166
_space_group_name_Hall '-R 3 2"'
loop_
_atom_site_label
_atom_site_type_symbol
_atom_site_fract_x
_atom_site_fract_y
_atom_site_fract_z
Ca1 Ca 0.0000 0.0000 0.1182
Ho1 Ho 0.0000 0.0000 0.0000
P1 P 0.0000 0.0000 0.5000

=====

# GGA-PBE LiTe, relaxed
# DOS at the Fermi energy	0.192	states/eV/atom
# raw formation energy	-0.6323	eV/atom
# uncorrected energy	-3.1601	eV per atom
data_LiTe
_chemical_formula_sum 'Li2 Te2'
_cell_length_a 5.0810
_cell_length_b 5.9784
_cell_length_c 3.1525
_cell_angle_alpha 90.00
_cell_angle_beta 90.00
_cell_angle_gamma 90.00
_space_group_name_H-M_alt 'C m m m'
_space_group_IT_number 65
_space_group_name_Hall '-C 2 2'
loop_
_atom_site_label
_atom_site_type_symbol
_atom_site_fract_x
_atom_site_fract_y
_atom_site_fract_z
Li1 Li 0.0000 0.0000 0.0000
Te1 Te 0.0000 0.5000 0.5000